Density functional theory data (PBE-GGA) for a relaxed NbHgTe2 crystal.

Cell: 4.2227 4.2227 6.0453 Å, 90.00 90.00 90.00°
With the nearest neighbours (Å) after each atom.
Space group P4/mmm (No. 123)
Asymmetric unit:
Nb (0.0000, 0.0000, 0.0000)  6 Te 2.99-3.02
Hg (0.5000, 0.5000, 0.5000)  6 Te 2.99-3.02
Te (0.0000, 0.0000, 0.5000)  4 Hg 2.99, 2 Nb 3.02
Te (0.5000, 0.5000, 0.0000)  4 Nb 2.99, 2 Hg 3.02

Properties
Calculated volume = 26.95 Å³ per atom
Final energy = -3.980 eV/atom
Offset from the most stable computed form = 521.5 meV per atom
Uncorrected formation energy = 0.18 eV/atom